Compound: NpSe2Cl2
Source: the Open Quantum Materials Database
Functional: PBE-GGA
Structure: relaxed

## Properties
- Crystal system: monoclinic
- Final energy: -0.2163 Ha/atom
- Space group: No. 12

Cell lengths 7.2678, 7.2678, 7.1943 Å; angles 96.93, 96.93, 123.33 degrees
Positions (direct):
1 Se 0.0866 0.0866 0.3126
2 Se 0.6809 0.6809 0.8748
3 Se 0.3191 0.3191 0.1252
4 Se 0.9134 0.9134 0.6874
5 Np 0.1533 0.8467 0.0000
6 Np 0.8467 0.1533 0.0000
7 Cl 0.5410 0.9584 0.2268
8 Cl 0.0416 0.4590 0.7732
9 Cl 0.4590 0.0416 0.7732
10 Cl 0.9584 0.5410 0.2268

***

Compound: Hf2Cu2Hg
Source: the Open Quantum Materials Database
Functional: PBE-GGA
Structure: relaxed

## Properties
- ΔE_f: 0.246 eV/atom
- Crystal system: tetragonal
- Polymorph energy (0 for the lowest one): 388 meV/atom
- Space group: No. 139

Cell lengths 4.2285, 4.2285, 6.1640 Å; angles 110.06, 110.06, 90.00 degrees
Positions (direct):
1 Hf 0.2500 0.7500 0.5000
2 Hf 0.7500 0.2500 0.5000
3 Cu 0.3964 0.3964 0.7928
4 Cu 0.6036 0.6036 0.2072
5 Hg 0.0000 0.0000 0.0000